Record 1
TaSiTc PBE-GGA relaxed; energy above the lowest structure with this stoichiometry = 61.8 kJ per mole of atoms; SG = No. 216; uncorrected formation energy = 22.9 meV per atom; DOS(E_F) = 15.981 states/eV per cell; raw total energy = -110.29 eV for the cell shown
1.0
5.971 0.000 0.000
0.000 5.971 0.000
0.000 0.000 5.971
Ta Si Tc
4 4 4
direct
0.000 0.000 0.000
0.000 0.500 0.500
0.500 0.000 0.500
0.500 0.500 0.000
0.000 0.000 0.500
0.000 0.500 0.000
0.500 0.000 0.000
0.500 0.500 0.500
0.250 0.250 0.250
0.250 0.750 0.750
0.750 0.250 0.750
0.750 0.750 0.250


Record 2
Ta3SiTc PBE-GGA relaxed; energy above the lowest structure with this stoichiometry = 28.5 kJ per mole of atoms; SG = No. 221; uncorrected formation energy = 1256.4 meV per atom; DOS(E_F) = 2.363 states/eV per cell; raw total energy = -45.06 eV for the cell shown
1.0
4.772 0.000 0.000
0.000 4.772 0.000
0.000 0.000 4.772
Ta Si Tc
3 1 1
direct
0.000 0.000 0.500
0.000 0.500 0.000
0.500 0.000 0.000
0.500 0.500 0.500
0.000 0.000 0.000


Record 3
ThTaSi2Tc PBE-GGA relaxed; SG = No. 119; uncorrected formation energy = -626.3 meV per atom; DOS(E_F) = 5.102 states/eV per cell; raw total energy = -87.23 eV for the cell shown
1.0
4.075 0.000 0.000
0.000 4.075 0.000
0.000 0.000 11.219
Th Ta Si Tc
2 2 4 2
direct
0.000 0.000 0.000
0.500 0.500 0.500
0.000 0.500 0.750
0.500 0.000 0.250
0.000 0.000 0.390
0.000 0.000 0.610
0.500 0.500 0.110
0.500 0.500 0.890
0.000 0.500 0.250
0.500 0.000 0.750


Record 4
TaTlSiTc2 PBE-GGA relaxed; SG = No. 123; uncorrected formation energy = 804.5 meV per atom; DOS(E_F) = 6.598 states/eV per cell; raw total energy = -36.35 eV for the cell shown
1.0
4.473 0.000 0.000
0.000 4.473 0.000
0.000 0.000 4.689
Ta Tl Si Tc
1 1 1 2
direct
0.000 0.000 0.000
0.500 0.500 0.000
0.000 0.000 0.500
0.000 0.500 0.500
0.500 0.000 0.500


Record 5
YTaSiTc2 PBE-GGA relaxed; SG = No. 123; uncorrected formation energy = 781.9 meV per atom; DOS(E_F) = 7.500 states/eV per cell; raw total energy = -40.56 eV for the cell shown
1.0
4.468 0.000 0.000
0.000 4.468 0.000
0.000 0.000 4.955
Y Ta Si Tc
1 1 1 2
direct
0.000 0.000 0.000
0.500 0.500 0.000
0.000 0.000 0.500
0.000 0.500 0.500
0.500 0.000 0.500


Record 6
TaSi2Te6 PBE-GGA relaxed; SG = No. 146; uncorrected formation energy = -45.1 meV per atom; DOS(E_F) = 7.024 states/eV per cell; raw total energy = -41.96 eV for the cell shown
1.0
3.610 2.084 6.683
-3.610 2.084 6.683
0.000 -4.168 6.683
Ta Si Te
1 2 6
direct
0.000 0.000 0.000
0.607 0.607 0.607
0.722 0.722 0.722
0.070 0.798 0.397
0.217 0.619 0.895
0.397 0.070 0.798
0.619 0.895 0.217
0.798 0.397 0.070
0.895 0.217 0.619


Record 7
TaSiTe4 PBE-GGA relaxed; SG = No. 216; uncorrected formation energy = 1288.7 meV per atom; DOS(E_F) = 6.097 states/eV per cell; raw total energy = -22.11 eV for the cell shown
1.0
0.000 4.327 4.327
4.327 0.000 4.327
4.327 4.327 0.000
Ta Si Te
1 1 4
direct
0.000 0.000 0.000
0.250 0.250 0.250
0.124 0.625 0.625
0.625 0.124 0.625
0.625 0.625 0.124
0.625 0.625 0.625


Record 8
TaSi4Te PBE-GGA relaxed; SG = No. 216; uncorrected formation energy = 477.6 meV per atom; DOS(E_F) = 4.043 states/eV per cell; raw total energy = -33.82 eV for the cell shown
1.0
0.000 3.667 3.667
3.667 0.000 3.667
3.667 3.667 0.000
Ta Si Te
1 4 1
direct
0.000 0.000 0.000
0.375 0.375 0.375
0.375 0.375 0.874
0.375 0.874 0.375
0.874 0.375 0.375
0.750 0.750 0.750